(1)
Below is a geometry-optimized Sr2LaY structure, with properties calculated at the PBE-GGA level.

abc: 6.880 6.880 6.681
angles: 80.83 80.83 32.62
Sites, in units of the cell vectors:
La  0.750  0.750  0.750
Sr  0.999  0.999  0.003
Sr  0.501  0.501  0.497
Y  0.250  0.250  0.250

- Energy of formation from the pure elements: 0.2007 eV/atom
- Magnetic moment: 0.002 μB per atom


(2)
Below is a geometry-optimized Sr2LaY structure, with properties calculated at the PBE-GGA level.

abc: 7.436 7.436 7.436
angles: 147.49 128.63 62.12
Sites, in units of the cell vectors:
La  0.272  0.772  0.500
Sr  0.003  0.003  0.000
Sr  0.735  0.235  0.500
Y  0.490  0.490  0.000

- Energy of formation from the pure elements: 0.1990 eV/atom
- Magnetic moment: 0.000 μB per atom


(3)
Below is a geometry-optimized SrLa2Y structure, with properties calculated at the PBE-GGA level.

abc: 6.132 6.132 4.164
angles: 90.00 90.00 90.00
Sites, in units of the cell vectors:
La  0.000  0.000  0.000
La  0.500  0.500  0.000
Sr  0.500  0.000  0.500
Y  0.000  0.500  0.500

- Energy of formation from the pure elements: 0.1822 eV/atom
- Magnetic moment: 0.001 μB per atom